{
  "formula": "MoCl2F",
  "functional": "PBE+U",
  "state": "relaxed",
  "polymorph_energy_ev_per_fu": 0.00,
  "lattice": [[9.2649, 0.0000, 0.0000], [0.0000, 9.2649, 0.0000], [0.0000, 0.0000, 4.1928]],
  "species": ["Mo", "Mo", "Mo", "Mo", "Cl", "Cl", "Cl", "Cl", "Cl", "Cl", "Cl", "Cl", "F", "F", "F", "F"],
  "fractional_positions": [[0.0000, 0.0000, 0.0000], [0.0000, 0.5000, 0.2500], [0.5000, 0.0000, 0.7500], [0.5000, 0.5000, 0.5000], [0.0978, 0.2500, 0.1250], [0.2500, 0.5978, 0.3750], [0.2500, 0.9022, 0.8750], [0.4022, 0.2500, 0.6250], [0.5978, 0.7500, 0.6250], [0.7500, 0.0978, 0.8750], [0.7500, 0.4022, 0.3750], [0.9022, 0.7500, 0.1250], [0.0000, 0.0000, 0.5000], [0.0000, 0.5000, 0.7500], [0.5000, 0.0000, 0.2500], [0.5000, 0.5000, 0.0000]]
}